No. 1
SmNb2NiN4: optimized geometry, PBE.

Values from the calculation:
magnetization: 0.0 μB per formula unit
VASP energy: -8.92 eV/atom
formation energy without anion corrections: -0.928 eV/atom

a b c (Å): 3.2205 5.5646 10.8371
angles (deg): 90.00 90.00 106.82
Element x y z (fractional)
Sm  0.1070  0.2139  0.7500
Sm  0.8930  0.7861  0.2500
Nb  0.3694  0.7387  0.5570
Nb  0.6306  0.2613  0.0570
Nb  0.6306  0.2613  0.4430
Nb  0.3694  0.7387  0.9430
Ni  0.8383  0.6767  0.7500
Ni  0.1617  0.3233  0.2500
N  0.2734  0.5469  0.1104
N  0.7266  0.4531  0.6104
N  0.7266  0.4531  0.8896
N  0.2734  0.5469  0.3896
N  0.0000  0.0000  0.5000
N  0.0000  0.0000  0.0000
N  0.4473  0.8946  0.7500
N  0.5527  0.1054  0.2500


No. 2
SrNb2NiN4: optimized geometry, PBE.

Values from the calculation:
magnetization: 0.0 μB per formula unit
VASP energy: -8.37 eV/atom
formation energy without anion corrections: -0.754 eV/atom

a b c (Å): 3.2140 5.6781 10.9183
angles (deg): 90.00 90.00 106.44
Element x y z (fractional)
Sr  0.1049  0.2098  0.7500
Sr  0.8951  0.7902  0.2500
Nb  0.3687  0.7375  0.5542
Nb  0.6313  0.2625  0.0542
Nb  0.6313  0.2625  0.4458
Nb  0.3687  0.7375  0.9458
Ni  0.8362  0.6725  0.7500
Ni  0.1638  0.3275  0.2500
N  0.2680  0.5359  0.1062
N  0.7320  0.4641  0.6062
N  0.7320  0.4641  0.8938
N  0.2680  0.5359  0.3938
N  0.0000  0.0000  0.5000
N  0.0000  0.0000  0.0000
N  0.4318  0.8636  0.7500
N  0.5682  0.1364  0.2500


No. 3
SrNbNi2N: optimized geometry, PBE.

Values from the calculation:
magnetization: 0.7 μB per formula unit
VASP energy: -4.48 eV/atom
formation energy without anion corrections: 1.849 eV/atom

a b c (Å): 4.3902 6.5344 4.3902
angles (deg): 90.00 90.00 90.00
Site moments in Bohr magnetons follow the coordinates.
Element x y z (fractional)
Sr  0.0000  0.5000  0.0000  0.03
Nb  0.0000  0.0000  0.0000  0.51
N  0.5000  0.5000  0.5000  -0.01
Ni  0.0000  0.0000  0.5000  0.01
Ni  0.5000  0.0000  0.0000  0.02


No. 4
TbNb2NiN4: optimized geometry, PBE.

Values from the calculation:
magnetization: 0.0 μB per formula unit
VASP energy: -8.94 eV/atom
formation energy without anion corrections: -0.962 eV/atom

a b c (Å): 3.1920 5.5230 10.8143
angles (deg): 90.00 90.00 106.80
Element x y z (fractional)
Tb  0.1079  0.2158  0.7500
Tb  0.8921  0.7842  0.2500
Nb  0.3697  0.7393  0.5573
Nb  0.6303  0.2607  0.0573
Nb  0.6303  0.2607  0.4427
Nb  0.3697  0.7393  0.9427
Ni  0.8388  0.6776  0.7500
Ni  0.1612  0.3224  0.2500
N  0.2752  0.5503  0.1118
N  0.7248  0.4497  0.6118
N  0.7248  0.4497  0.8882
N  0.2752  0.5503  0.3882
N  0.0000  0.0000  0.5000
N  0.0000  0.0000  0.0000
N  0.4518  0.9035  0.7500
N  0.5482  0.0965  0.2500


No. 5
Nb2TcNiN: optimized geometry, PBE.

Values from the calculation:
magnetization: 0.0 μB per formula unit
VASP energy: -9.29 eV/atom
formation energy without anion corrections: -0.363 eV/atom

a b c (Å): 4.2876 4.2876 3.7050
angles (deg): 90.00 90.00 90.00
Element x y z (fractional)
Ni  0.0000  0.0000  0.5000
Nb  0.0000  0.5000  0.0000
Nb  0.5000  0.0000  0.0000
Tc  0.5000  0.5000  0.5000
N  0.0000  0.0000  0.0000


No. 6
NbNiTeN2: optimized geometry, PBE.

Values from the calculation:
magnetization: 0.0 μB per formula unit
VASP energy: -5.78 eV/atom
formation energy without anion corrections: 1.346 eV/atom

a b c (Å): 3.8889 3.8889 4.8471
angles (deg): 90.00 90.00 90.00
Element x y z (fractional)
Ni  0.0000  0.0000  0.0000
Nb  0.5000  0.5000  0.5000
Te  0.0000  0.0000  0.5000
N  0.0000  0.5000  0.0000
N  0.5000  0.0000  0.0000


No. 7
NbNiTeN2: optimized geometry, PBE.

Values from the calculation:
magnetization: 1.4 μB per formula unit
VASP energy: -6.54 eV/atom
formation energy without anion corrections: 0.586 eV/atom

a b c (Å): 3.9589 3.9589 5.9690
angles (deg): 90.00 90.00 90.00
Site moments in Bohr magnetons follow the coordinates.
Element x y z (fractional)
Ni  0.5000  0.5000  0.5000  0.73
Nb  0.0000  0.0000  0.0000  -0.07
Te  0.0000  0.0000  0.5000  0.03
N  0.0000  0.5000  0.0000  0.26
N  0.5000  0.0000  0.0000  0.26


No. 8
Th2NbNiN5: optimized geometry, PBE.

Values from the calculation:
magnetization: 0.0 μB per formula unit
VASP energy: -9.01 eV/atom
formation energy without anion corrections: -0.971 eV/atom

a b c (Å): 3.3559 6.8671 10.4205
angles (deg): 90.00 90.00 104.14
Element x y z (fractional)
Th  0.8610  0.7219  0.8111
Th  0.1061  0.2122  0.6827
Th  0.1390  0.2781  0.3111
Th  0.8939  0.7878  0.1827
Nb  0.8074  0.6148  0.5137
Nb  0.1926  0.3852  0.0137
Ni  0.5304  0.0608  0.9518
Ni  0.4696  0.9392  0.4518
N  0.3675  0.7350  0.9986
N  0.6766  0.3533  0.8764
N  0.4902  0.9803  0.7736
N  0.2841  0.5683  0.6531
N  0.9479  0.8958  0.5628
N  0.6325  0.2650  0.4986
N  0.3234  0.6467  0.3764
N  0.5098  0.0197  0.2736
N  0.7159  0.4317  0.1531
N  0.0521  0.1042  0.0628